Below is an optimized crystal structure of V2O5, with properties calculated at the PBE with a Hubbard U level.

a b c (Å): 5.753 5.753 11.514
angles (deg): 90.00 90.00 143.34
Element x y z (fractional)
V1 0.705 0.295 0.602
V2 0.295 0.705 0.398
V3 0.295 0.705 0.102
V4 0.705 0.295 0.898
O1 0.763 0.237 0.750
O2 0.559 0.441 0.614
O3 0.249 0.751 0.569
O4 0.751 0.249 0.431
O5 0.441 0.559 0.386
O6 0.237 0.763 0.250
O7 0.441 0.559 0.114
O8 0.559 0.441 0.886
O9 0.751 0.249 0.069
O10 0.249 0.751 0.931

SG: Cmcm (63)
VASP energy (eV per atom): -7.448